Record 1
A relaxed CrAsIO2 crystal. Source: the Alexandria database, functional GGA+U.

Output
Final energy = -4.755 eV per atom
Total magnetic moment = 0.19 μB/cell
Fermi-level density of states = 3.7 states/eV per cell
E above lowest polymorph = 205 meV per atom
Crystal system = tetragonal

Lattice parameters (Å, degrees): 3.8083 3.8083 7.4015 90.00 90.00 90.00
Closest atoms and distances in Å follow each position.
Positions (direct):
I1 0.0000 0.0000 0.5000  4 As 2.69
Cr1 0.0000 0.0000 0.0000  4 O 1.90
As1 0.5000 0.5000 0.5000  4 I 2.69
O1 0.0000 0.5000 0.0000  2 Cr 1.90
O2 0.5000 0.0000 0.0000  2 Cr 1.90

=====

Record 2
A relaxed CrAsI2O crystal. Source: the Alexandria database, functional GGA+U.

Output
Final energy = -4.166 eV per atom
Total magnetic moment = 3.11 μB/cell
Fermi-level density of states = 3.0 states/eV per cell
E above lowest polymorph = 0 meV per atom
Crystal system = tetragonal

Lattice parameters (Å, degrees): 5.7124 5.7124 3.6759 90.00 90.00 90.00
Closest atoms and distances in Å follow each position.
Positions (direct):
I1 0.0000 0.5000 0.0000  2 Cr 2.86
I2 0.5000 0.0000 0.0000  2 Cr 2.86
Cr1 0.0000 0.0000 0.0000  2 O 1.84
As1 0.5000 0.5000 0.5000  8 I 3.40, 2 As 3.68
O1 0.0000 0.0000 0.5000  2 Cr 1.84

=====

Record 3
A relaxed CrAsI2O crystal. Source: the Alexandria database, functional GGA+U.

Output
Final energy = -4.152 eV per atom
Total magnetic moment = 5.00 μB/cell
Fermi-level density of states = 2.0 states/eV per cell
E above lowest polymorph = 14 meV per atom
Crystal system = tetragonal

Lattice parameters (Å, degrees): 5.8468 5.8468 3.8344 90.00 90.00 90.00
Closest atoms and distances in Å follow each position.
Positions (direct):
I1 0.0000 0.5000 0.0000  2 As 2.92
I2 0.5000 0.0000 0.0000  2 As 2.92
Cr1 0.5000 0.5000 0.5000  8 I 3.50, 2 Cr 3.83
As1 0.0000 0.0000 0.0000  2 O 1.92
O1 0.0000 0.0000 0.5000  2 As 1.92

=====

Record 4
A relaxed CrAsIO2 crystal. Source: the Alexandria database, functional GGA+U.

Output
Final energy = -4.960 eV per atom
Total magnetic moment = 4.87 μB/cell
Fermi-level density of states = 1.5 states/eV per cell
E above lowest polymorph = 0 meV per atom
Crystal system = tetragonal

Lattice parameters (Å, degrees): 3.9045 3.9045 6.3416 90.00 90.00 90.00
Closest atoms and distances in Å follow each position.
Positions (direct):
I1 0.0000 0.0000 0.5000  4 Cr 2.76
Cr1 0.5000 0.5000 0.5000  4 I 2.76
As1 0.0000 0.0000 0.0000  4 O 1.95
O1 0.0000 0.5000 0.0000  2 As 1.95
O2 0.5000 0.0000 0.0000  2 As 1.95

=====

Q: Look up the total magnetic moment of the second one.
A: 3.11 μB/cell